(1)
Material: Li3Pb
Method: DFT, GGA-PBE
State: optimized geometry

The calculated total energy comes out at -9.7 eV/cell. For the energy of formation, the calculation gives -0.073 eV per atom.

The structure belongs to space group P-6m2 (No. 187); the cell edges are 3.3451, 3.3451 and 9.5179 Å and the angles 90.00°, 90.00° and 120.00°. The inequivalent atoms are Li at (0.0000, 0.0000, 0.0000), Li at (0.3333, 0.6667, 0.2572) and Pb at (0.0000, 0.0000, 0.5000).

---

(2)
Material: LiPb4
Method: DFT, GGA-PBE
State: optimized geometry

The calculated total energy comes out at -33.9 eV/cell. For the energy of formation, the calculation gives -0.043 eV per atom.

The structure belongs to space group P4/nbm (No. 125, origin choice 2); the cell edges are 6.728, 6.728 and 6.290 Å and the angles 90.00°, 90.00° and 90.00°. The inequivalent atoms are Li at (0.250, 0.250, 0.000) and Pb at (0.071, 0.571, 0.264).

---

(3)
Material: Li3Pb
Method: DFT, GGA-PBE
State: optimized geometry

The calculated total energy comes out at -10.2 eV/cell. For the energy of formation, the calculation gives -0.192 eV per atom.

The structure belongs to space group P4/mmm (No. 123); the cell edges are 3.545, 3.545 and 6.545 Å and the angles 90.00°, 90.00° and 90.00°. The inequivalent atoms are Li at (0.000, 0.000, 0.000), Li at (0.500, 0.500, 0.253) and Pb at (0.000, 0.000, 0.500).